No. 1
Be2MoPb | PBE-GGA | relaxed

Formation enthalpy at 0 K   1026 meV/atom

CIF file:
```
data_Be2MoPb
_chemical_formula_sum 'Be8 Mo4 Pb4'
_space_group_name_H-M_alt 'F -4 3 m'
_space_group_IT_number 216
_space_group_name_Hall 'F -4 2 3'
_cell_length_a 6.291
_cell_length_b 6.291
_cell_length_c 6.291
_cell_angle_alpha 90.00
_cell_angle_beta 90.00
_cell_angle_gamma 90.00
loop_
_atom_site_label
_atom_site_type_symbol
_atom_site_fract_x
_atom_site_fract_y
_atom_site_fract_z
_atom_site_occupancy
Be1 Be 0.000 0.000 0.000 1
Be2 Be 0.250 0.250 0.250 1
Mo1 Mo 0.000 0.000 0.500 1
Pb1 Pb 0.250 0.250 0.750 1
```



No. 2
GeMo2HRu | PBE-GGA | relaxed

CIF file:
```
data_GeMo2HRu
_chemical_formula_sum 'Ge1 Mo2 H1 Ru1'
_space_group_name_H-M_alt 'P 4/m m m'
_space_group_IT_number 123
_space_group_name_Hall '-P 4 2'
_cell_length_a 3.867
_cell_length_b 3.867
_cell_length_c 4.205
_cell_angle_alpha 90.00
_cell_angle_beta 90.00
_cell_angle_gamma 90.00
loop_
_atom_site_label
_atom_site_type_symbol
_atom_site_fract_x
_atom_site_fract_y
_atom_site_fract_z
_atom_site_occupancy
Ge1 Ge 0.000 0.000 0.000 1
Mo1 Mo 0.000 0.500 0.500 1
H1 H 0.500 0.500 0.500 1
Ru1 Ru 0.500 0.500 0.000 1
```



No. 3
PmSc5Ir4 | PBE-GGA | relaxed

Formation enthalpy at 0 K   -816 meV/atom

CIF file:
```
data_PmSc5Ir4
_chemical_formula_sum 'Pm1 Sc5 Ir4'
_space_group_name_H-M_alt 'P 4/m m m'
_space_group_IT_number 123
_space_group_name_Hall '-P 4 2'
_cell_length_a 3.228
_cell_length_b 3.228
_cell_length_c 18.398
_cell_angle_alpha 90.00
_cell_angle_beta 90.00
_cell_angle_gamma 90.00
loop_
_atom_site_label
_atom_site_type_symbol
_atom_site_fract_x
_atom_site_fract_y
_atom_site_fract_z
_atom_site_occupancy
Pm1 Pm 0.000 0.000 0.000 1
Sc1 Sc 0.500 0.500 0.148 1
Sc2 Sc 0.500 0.500 0.323 1
Sc3 Sc 0.500 0.500 0.500 1
Ir1 Ir 0.000 0.000 0.232 1
Ir2 Ir 0.000 0.000 0.411 1
```



No. 4
LiTi2RuSe | PBE-GGA | relaxed

Raw formation energy   236 meV/atom

CIF file:
```
data_LiTi2RuSe
_chemical_formula_sum 'Li1 Ti2 Ru1 Se1'
_space_group_name_H-M_alt 'P 4/m m m'
_space_group_IT_number 123
_space_group_name_Hall '-P 4 2'
_cell_length_a 4.686
_cell_length_b 4.686
_cell_length_c 4.068
_cell_angle_alpha 90.00
_cell_angle_beta 90.00
_cell_angle_gamma 90.00
loop_
_atom_site_label
_atom_site_type_symbol
_atom_site_fract_x
_atom_site_fract_y
_atom_site_fract_z
_atom_site_occupancy
Li1 Li 0.000 0.000 0.000 1
Ti1 Ti 0.000 0.500 0.500 1
Ru1 Ru 0.500 0.500 0.000 1
Se1 Se 0.000 0.000 0.500 1
```



No. 5
YHo7Sc2 | PBE-GGA | relaxed

Formation enthalpy at 0 K   664 meV/atom
Offset from the most stable computed form   620 meV per atom

CIF file:
```
data_YHo7Sc2
_chemical_formula_sum 'Y2 Ho14 Sc4'
_space_group_name_H-M_alt 'C m m m'
_space_group_IT_number 65
_space_group_name_Hall '-C 2 2'
_cell_length_a 8.732
_cell_length_b 15.100
_cell_length_c 5.526
_cell_angle_alpha 90.00
_cell_angle_beta 90.00
_cell_angle_gamma 90.00
loop_
_atom_site_label
_atom_site_type_symbol
_atom_site_fract_x
_atom_site_fract_y
_atom_site_fract_z
_atom_site_occupancy
Y1 Y 0.000 0.000 0.000 1
Ho1 Ho 0.000 0.238 0.000 1
Ho2 Ho 0.000 0.500 0.500 1
Ho3 Ho 0.181 0.120 0.500 1
Sc1 Sc 0.000 0.295 0.500 1
```



No. 6
Sm6PdRu2Cl3 | PBE-GGA | relaxed

Raw formation energy   -1001 meV/atom

CIF file:
```
data_Sm6PdRu2Cl3
_chemical_formula_sum 'Sm12 Pd2 Ru4 Cl6'
_space_group_name_H-M_alt 'C 1 2/m 1'
_space_group_IT_number 12
_cell_length_a 6.971
_cell_length_b 12.085
_cell_length_c 7.923
_cell_angle_alpha 90.00
_cell_angle_beta 107.01
_cell_angle_gamma 90.00
loop_
_space_group_symop_operation_xyz
'x,y,z'
'-x,-y,-z'
'-x,y,-z'
'x,-y,z'
'x+1/2,y+1/2,z'
'-x+1/2,-y+1/2,-z'
'-x+1/2,y+1/2,-z'
'x+1/2,-y+1/2,z'
loop_
_atom_site_label
_atom_site_type_symbol
_atom_site_fract_x
_atom_site_fract_y
_atom_site_fract_z
_atom_site_occupancy
Sm1 Sm 0.220 0.000 0.206 1
Sm2 Sm 0.243 0.326 0.207 1
Pd1 Pd 0.000 0.500 0.000 1
Ru1 Ru 0.000 0.166 0.000 1
Cl1 Cl 0.000 0.000 0.500 1
Cl2 Cl 0.000 0.328 0.500 1
```



No. 7
AlNiRh2 | PBE-GGA | relaxed

Formation enthalpy at 0 K   -299 meV/atom

CIF file:
```
data_AlNiRh2
_chemical_formula_sum 'Al3 Ni3 Rh6'
_space_group_name_H-M_alt 'R -3 m'
_space_group_IT_number 166
_space_group_name_Hall '-R 3 2"'
_cell_length_a 2.7822
_cell_length_b 2.7822
_cell_length_c 24.3293
_cell_angle_alpha 90.00
_cell_angle_beta 90.00
_cell_angle_gamma 120.00
loop_
_atom_site_label
_atom_site_type_symbol
_atom_site_fract_x
_atom_site_fract_y
_atom_site_fract_z
_atom_site_occupancy
Al1 Al 0.0000 0.0000 0.0000 1
Ni1 Ni 0.0000 0.0000 0.5000 1
Rh1 Rh 0.0000 0.0000 0.2518 1
```



No. 8
Ag5Se | PBE-GGA | relaxed

Raw formation energy   81 meV/atom

CIF file:
```
data_Ag5Se
_chemical_formula_sum 'Ag5 Se1'
_space_group_name_H-M_alt 'P 4/m m m'
_space_group_IT_number 123
_space_group_name_Hall '-P 4 2'
_cell_length_a 2.957
_cell_length_b 2.957
_cell_length_c 12.776
_cell_angle_alpha 90.00
_cell_angle_beta 90.00
_cell_angle_gamma 90.00
loop_
_atom_site_label
_atom_site_type_symbol
_atom_site_fract_x
_atom_site_fract_y
_atom_site_fract_z
_atom_site_occupancy
Ag1 Ag 0.000 0.000 0.000 1
Ag2 Ag 0.000 0.000 0.323 1
Ag3 Ag 0.500 0.500 0.162 1
Se1 Se 0.500 0.500 0.500 1
```



No. 9
Na2SrSn2Pb2 | PBE-GGA | relaxed

Formation enthalpy at 0 K   -208 meV/atom

CIF file:
```
data_Na2SrSn2Pb2
_chemical_formula_sum 'Na6 Sr3 Sn6 Pb6'
_space_group_name_H-M_alt 'R -3 m'
_space_group_IT_number 166
_space_group_name_Hall '-R 3 2"'
_cell_length_a 5.3132
_cell_length_b 5.3132
_cell_length_c 26.3829
_cell_angle_alpha 90.00
_cell_angle_beta 90.00
_cell_angle_gamma 120.00
loop_
_atom_site_label
_atom_site_type_symbol
_atom_site_fract_x
_atom_site_fract_y
_atom_site_fract_z
_atom_site_occupancy
Na1 Na 0.0000 0.0000 0.1435 1
Sr1 Sr 0.0000 0.0000 0.0000 1
Sn1 Sn 0.0000 0.0000 0.4370 1
Pb1 Pb 0.0000 0.0000 0.2682 1
```



No. 10
Cd2In7Hg2 | PBE-GGA | relaxed

Formation enthalpy at 0 K   49 meV/atom
Offset from the most stable computed form   0 meV per atom

CIF file:
```
data_Cd2In7Hg2
_chemical_formula_sum 'Cd4 In14 Hg4'
_space_group_name_H-M_alt 'C 1 2/m 1'
_space_group_IT_number 12
_cell_length_a 9.907
_cell_length_b 11.041
_cell_length_c 6.031
_cell_angle_alpha 90.00
_cell_angle_beta 114.99
_cell_angle_gamma 90.00
loop_
_space_group_symop_operation_xyz
'x,y,z'
'-x,-y,-z'
'-x,y,-z'
'x,-y,z'
'x+1/2,y+1/2,z'
'-x+1/2,-y+1/2,-z'
'-x+1/2,y+1/2,-z'
'x+1/2,-y+1/2,z'
loop_
_atom_site_label
_atom_site_type_symbol
_atom_site_fract_x
_atom_site_fract_y
_atom_site_fract_z
_atom_site_occupancy
Cd1 Cd 0.166 0.000 0.474 1
In1 In 0.000 0.500 0.500 1
In2 In 0.154 0.000 0.968 1
In3 In 0.181 0.257 0.698 1
Hg1 Hg 0.000 0.357 0.000 1
```



No. 11
NbNi2IrCl | PBE-GGA | relaxed

Raw formation energy   1459 meV/atom

CIF file:
```
data_NbNi2IrCl
_chemical_formula_sum 'Nb1 Ni2 Ir1 Cl1'
_space_group_name_H-M_alt 'P 4/m m m'
_space_group_IT_number 123
_space_group_name_Hall '-P 4 2'
_cell_length_a 4.669
_cell_length_b 4.669
_cell_length_c 4.781
_cell_angle_alpha 90.00
_cell_angle_beta 90.00
_cell_angle_gamma 90.00
loop_
_atom_site_label
_atom_site_type_symbol
_atom_site_fract_x
_atom_site_fract_y
_atom_site_fract_z
_atom_site_occupancy
Nb1 Nb 0.000 0.000 0.000 1
Ni1 Ni 0.000 0.500 0.000 1
Ir1 Ir 0.000 0.000 0.500 1
Cl1 Cl 0.500 0.500 0.500 1
```



No. 12
Pu2Ga3Cu | PBE-GGA | relaxed

Formation enthalpy at 0 K   -310 meV/atom

CIF file:
```
data_Pu2Ga3Cu
_chemical_formula_sum 'Pu4 Ga6 Cu2'
_space_group_name_H-M_alt 'I m m 2'
_space_group_IT_number 44
_cell_length_a 4.643
_cell_length_b 6.147
_cell_length_c 8.042
_cell_angle_alpha 90.00
_cell_angle_beta 90.00
_cell_angle_gamma 90.00
loop_
_space_group_symop_operation_xyz
'x,y,z'
'-x,-y,z'
'-x,y,z'
'x,-y,z'
'x+1/2,y+1/2,z+1/2'
'-x+1/2,-y+1/2,z+1/2'
'-x+1/2,y+1/2,z+1/2'
'x+1/2,-y+1/2,z+1/2'
loop_
_atom_site_label
_atom_site_type_symbol
_atom_site_fract_x
_atom_site_fract_y
_atom_site_fract_z
_atom_site_occupancy
Pu1 Pu 0.000 0.249 0.000 1
Ga1 Ga 0.000 0.000 0.335 1
Ga2 Ga 0.000 0.000 0.673 1
Ga3 Ga 0.000 0.500 0.659 1
Cu1 Cu 0.000 0.500 0.331 1
```



| no. | total energy (eV/atom) | magnetization (μB/f.u.) |
| --- | --- | --- |
| 1 | -4.4717 | 0.0 |
| 2 | -7.6515 | 0.0 |
| 3 | -8.0013 | 0.0 |
| 4 | -5.8570 | 0.0 |
| 5 | -4.4530 | 0.0 |
| 6 | -5.8010 | 0.0 |
| 7 | -6.3553 | 1.3 |
| 8 | -2.8760 | 0.0 |
| 9 | -3.0285 | 0.0 |
| 10 | -1.9147 | 0.0 |
| 11 | -5.0085 | 0.0 |
| 12 | -7.2837 | 10.8 |